A plane-wave DFT calculation with PBE was carried out for a relaxed structure of TaFeAu3.

Cell lengths 4.6956, 4.6956, 4.6956 Å; angles 90.00, 90.00, 90.00 degrees
Site moments in Bohr magnetons follow the coordinates.
Element x y z (fractional)
Ta1 0.5000 0.5000 0.5000  -0.34
Au1 0.5000 0.0000 0.0000  0.02
Au2 0.0000 0.0000 0.5000  0.17
Au3 0.0000 0.5000 0.0000  0.13
Fe1 0.0000 0.0000 0.0000  2.91

Computed properties:
Total DFT energy (no corrections) (eV/cell): -24.21
Distance to the lowest polymorph of the same formula (meV per atom): 0
Crystal system: cubic
ΔE_f (eV/atom): 1.187